[1]
This record from Alexandria via LeMat-Bulk describes a geometry-optimized La2InTc structure. The functional is PBE.

abc: 5.7898 5.7898 5.7898
angles: 137.50 123.78 72.94
With the nearest neighbours (Å) after each atom.
Sites, in units of the cell vectors:
La  0.2038  0.2038  0.0000  2 Tc 2.83
La  0.7962  0.7962  0.0000  2 Tc 2.83
In  0.5000  0.0000  0.5000  8 La 3.32-3.47, 4 Tc 3.44
Tc  0.0000  0.5000  0.5000  4 La 2.83

Properties
The raw total energy is -0.4221 Ry/atom. The density of states at the Fermi level is 4.5 states/eV per cell. The calculation puts the formation energy at -0.003 eV/atom.


[2]
This record from Alexandria via LeMat-Bulk describes a geometry-optimized Pr5TmAl2 structure. The functional is PBE.

abc: 5.4590 5.4590 20.1749
angles: 90.00 90.00 120.00
With the nearest neighbours (Å) after each atom.
Sites, in units of the cell vectors:
Pr  0.0000  0.0000  0.1548  3 Al 3.32, 3 Pr 3.69, 3 Tm 3.69
Pr  0.0000  0.0000  0.3452  3 Al 3.32, 3 Pr 3.69, 3 Tm 3.69
Pr  0.0000  0.0000  0.6548  3 Al 3.32, 3 Pr 3.69, 3 Tm 3.69
Pr  0.0000  0.0000  0.8452  3 Al 3.32, 3 Pr 3.69, 3 Tm 3.69
Pr  0.3333  0.6667  0.0541  4 Al 3.16-3.30
Pr  0.3333  0.6667  0.2500  3 Tm 3.15
Pr  0.3333  0.6667  0.4459  4 Al 3.16-3.30
Pr  0.6667  0.3333  0.5541  4 Al 3.16-3.30
Pr  0.6667  0.3333  0.7500  3 Tm 3.15
Pr  0.6667  0.3333  0.9459  4 Al 3.16-3.30
Tm  0.3333  0.6667  0.7500  2 Al 2.97, 3 Pr 3.15
Tm  0.6667  0.3333  0.2500  2 Al 2.97, 3 Pr 3.15
Al  0.3333  0.6667  0.6026  1 Tm 2.97, 7 Pr 3.16-3.32
Al  0.3333  0.6667  0.8974  1 Tm 2.97, 7 Pr 3.16-3.32
Al  0.6667  0.3333  0.1026  1 Tm 2.97, 7 Pr 3.16-3.32
Al  0.6667  0.3333  0.3974  1 Tm 2.97, 7 Pr 3.16-3.32

Properties
The raw total energy is -0.3320 Ry/atom. The density of states at the Fermi level is 24.9 states/eV per cell. The calculation puts the formation energy at -0.036 eV/atom.


[3]
This record from Alexandria via LeMat-Bulk describes a geometry-optimized CuCl5 structure. The functional is PBE.

abc: 3.2689 6.3648 8.5800
angles: 78.36 89.99 89.07
With the nearest neighbours (Å) after each atom.
Sites, in units of the cell vectors:
Cu  0.0000  0.0000  0.0000  4 Cl 2.25
Cl  0.9996  0.7509  0.7184  1 Cl 2.22
Cl  0.4929  0.2156  0.8773  2 Cu 2.25
Cl  0.5064  0.7791  0.1163  2 Cu 2.25
Cl  0.9849  0.2403  0.2671  1 Cl 2.24
Cl  0.9920  0.9945  0.4939  2 Cl 2.22-2.24

Properties
Its uncorrected formation energy is -1.0 eV/f.u. The raw total energy is -0.1757 Ry/atom. The excess energy over the best structure of this formula in the dataset is 0.00 eV per formula unit. The density of states at the Fermi level is 4.9 states/eV per cell.